# 1
Below is a relaxed Tm5Bi3 crystal, with properties calculated at the PBE level.

Values from the calculation:
The calculation puts the offset from the most stable computed form at 10 meV/atom. As for the density: 10.978 g/cm³.

Cell: 9.046 9.046 6.282 Å, 90.00 90.00 120.00°
Fractional coordinates of all 16 atoms:
1 Tm 0.000 0.242 0.250
2 Tm 0.000 0.758 0.750
3 Tm 0.242 0.000 0.250
4 Tm 0.242 0.242 0.750
5 Tm 0.333 0.667 0.000
6 Tm 0.333 0.667 0.500
7 Tm 0.667 0.333 0.000
8 Tm 0.667 0.333 0.500
9 Tm 0.758 0.000 0.750
10 Tm 0.758 0.758 0.250
11 Bi 0.000 0.390 0.750
12 Bi 0.000 0.610 0.250
13 Bi 0.390 0.000 0.750
14 Bi 0.390 0.390 0.250
15 Bi 0.610 0.000 0.250
16 Bi 0.610 0.610 0.750

# 2
Below is a relaxed TmBi2 crystal, with properties calculated at the PBE level.

Values from the calculation:
As for the density: 9.719 g/cm³.

Cell: 6.933 8.074 3.583 Å, 90.00 90.00 90.00°
Fractional coordinates of all 6 atoms:
1 Tm 0.000 0.000 0.000
2 Tm 0.500 0.500 0.500
3 Bi 0.154 0.364 0.000
4 Bi 0.346 0.864 0.500
5 Bi 0.654 0.136 0.500
6 Bi 0.846 0.636 0.000

no.,energy (eV per atom)
1,-4.933
2,-4.443